## Li2VO3F (PBE+U)

Data for an optimized crystal structure of Li2VO3F.

abc: 7.1676 7.1892 7.2063
angles: 109.30 111.35 107.58
Last column: nearest neighbours and their distance in Å.
Space group P1 (No. 1)
Inequivalent atoms, fractional coordinates:
Li 0.0000 0.0000 0.0000 x1  4 O 1.98-2.15, 1 F 2.19
Li 0.0078 0.2661 0.7470 x1  4 O 1.98-2.09
Li 0.2577 0.7300 0.9779 x1  5 O 2.08-2.22, 1 F 2.08
Li 0.2702 0.2523 0.4555 x1  1 F 2.03, 4 O 2.06-2.17
Li 0.5002 0.4794 0.9654 x1  1 F 2.01, 5 O 2.12-2.19
Li 0.5095 0.7177 0.7382 x1  3 F 2.01, 2 O 2.02-2.21
Li 0.5246 0.0296 0.4650 x1  5 O 2.00-2.24
Li 0.7537 0.2175 0.9598 x1  4 O 1.97-2.19, 1 F 2.18
V 0.0252 0.7027 0.2037 x1  3 O 1.68-1.79
V 0.2632 0.0094 0.7556 x1  2 O 1.68-1.75
V 0.7150 0.7284 0.4640 x1  2 O 1.68-1.76, 1 F 1.86
V 0.9828 0.4353 0.4651 x1  3 O 1.69-1.81
O 0.0057 0.4894 0.9951 x1  1 V 1.68
O 0.0188 0.7488 0.6932 x1  2 V 1.91-2.13
O 0.2054 0.9425 0.2186 x1  1 V 1.76
O 0.2229 0.7365 0.4672 x1  1 V 1.79
O 0.2351 0.4860 0.7040 x1  1 V 1.81, 1 Li 2.02
O 0.2423 0.2020 0.9451 x1  1 V 1.68
O 0.4571 0.1837 0.7151 x1  1 V 1.75
O 0.5273 0.7335 0.2449 x1  1 V 1.68
O 0.7540 0.9522 0.6983 x1  1 V 1.76
O 0.7771 0.2702 0.4878 x1  1 V 1.69
O 0.7842 0.5338 0.2562 x1  3 V 2.01-2.13, 1 Li 2.14
O 0.9873 0.2528 0.2403 x1  1 V 1.73
F 0.4837 0.9615 0.9469 x1  1 V 1.89, 2 Li 2.01-2.08
F 0.5216 0.5056 0.4832 x1  1 V 1.86, 2 Li 2.01-2.03
F 0.7568 0.7200 0.9901 x1  3 Li 2.01-2.19, 1 V 2.05
F 0.9956 0.9788 0.4887 x1  2 V 2.05-2.16, 1 Li 2.23

Calculated values
crystal system: triclinic
DOS at the Fermi energy: 0.0 states/eV per cell
M_tot: 0.01 μB per formula unit
total energy: -172.387 eV for the cell shown